Compound: Ce2MgHg
Source: Alexandria
Functional: PBE
Structure: optimized geometry

## Properties
* formation enthalpy at 0 K: -0.07 eV/atom
* volume: 28.125 Å³ per atom
* distance to the lowest polymorph of the same formula: 137 meV/atom
* electronic total energy: -3.507 eV/atom

a b c (Å): 5.419 5.419 5.419
angles (deg): 60.00 60.00 60.00
Sites, in units of the cell vectors:
Mg: 0.500 0.500 0.500
Hg: 0.000 0.000 0.000
Ce: 0.250 0.250 0.250
Ce: 0.750 0.750 0.750

Compound: Si2TeAu
Source: Alexandria
Functional: PBE
Structure: optimized geometry

## Properties
* volume: 20.510 Å³ per atom
* uncorrected formation energy: 0.170 eV/atom
* electronic total energy: -4.146 eV/atom

a b c (Å): 6.512 6.512 6.512
angles (deg): 35.22 35.22 35.22
Sites, in units of the cell vectors:
Au: 0.750 0.750 0.750
Si: 0.015 0.015 0.015
Si: 0.485 0.485 0.485
Te: 0.250 0.250 0.250

Compound: K2Mg3CdBi4
Source: Alexandria
Functional: PBE
Structure: optimized geometry

## Properties
* formation enthalpy at 0 K: -0.31 eV/atom
* volume: 32.995 Å³ per atom
* electronic total energy: -2.649 eV/atom

a b c (Å): 5.228 5.228 12.073
angles (deg): 90.00 90.00 90.00
Sites, in units of the cell vectors:
K: 0.500 0.000 0.244
K: 0.000 0.500 0.756
Mg: 0.000 0.000 0.500
Mg: 0.500 0.000 0.874
Mg: 0.000 0.500 0.126
Cd: 0.500 0.500 0.500
Bi: 0.500 0.500 0.000
Bi: 0.000 0.000 0.000
Bi: 0.500 0.000 0.631
Bi: 0.000 0.500 0.369

Compound: HgPtAu2
Source: Alexandria
Functional: PBE
Structure: optimized geometry

## Properties
* formation enthalpy at 0 K: 0.07 eV/atom
* volume: 18.348 Å³ per atom
* electronic total energy: -3.151 eV/atom

a b c (Å): 10.059 10.059 10.059
angles (deg): 16.71 16.71 16.71
Sites, in units of the cell vectors:
Au: 0.005 0.005 0.005
Au: 0.495 0.495 0.495
Hg: 0.250 0.250 0.250
Pt: 0.750 0.750 0.750

Compound: NdTm2Cd
Source: Alexandria
Functional: PBE
Structure: optimized geometry

## Properties
* formation enthalpy at 0 K: -0.15 eV/atom
* volume: 29.061 Å³ per atom
* distance to the lowest polymorph of the same formula: 0 meV/atom
* electronic total energy: -3.805 eV/atom

a b c (Å): 3.592 3.592 9.007
angles (deg): 90.00 90.00 90.00
Sites, in units of the cell vectors:
Tm: 0.000 0.000 0.780
Tm: 0.000 0.000 0.220
Nd: 0.500 0.500 0.500
Cd: 0.500 0.500 0.000

Compound: Pm12Er3Cd
Source: Alexandria
Functional: PBE
Structure: optimized geometry

## Properties
* formation enthalpy at 0 K: -0.01 eV/atom
* volume: 32.683 Å³ per atom
* electronic total energy: -4.486 eV/atom

a b c (Å): 5.057 5.057 20.447
angles (deg): 90.00 90.00 90.00
Sites, in units of the cell vectors:
Pm: 0.500 0.500 0.000
Pm: 0.500 0.500 0.246
Pm: 0.500 0.500 0.500
Pm: 0.500 0.500 0.754
Pm: 0.500 0.000 0.122
Pm: 0.500 0.000 0.374
Pm: 0.500 0.000 0.626
Pm: 0.500 0.000 0.878
Pm: 0.000 0.500 0.122
Pm: 0.000 0.500 0.374
Pm: 0.000 0.500 0.626
Pm: 0.000 0.500 0.878
Er: 0.000 0.000 0.248
Er: 0.000 0.000 0.500
Er: 0.000 0.000 0.752
Cd: 0.000 0.000 0.000

Compound: La2Pr3Dy
Source: Alexandria
Functional: PBE
Structure: optimized geometry

## Properties
* formation enthalpy at 0 K: 0.12 eV/atom
* volume: 36.071 Å³ per atom
* distance to the lowest polymorph of the same formula: 0 meV/atom
* electronic total energy: -4.680 eV/atom

a b c (Å): 7.064 9.429 7.160
angles (deg): 100.93 90.00 112.00
Sites, in units of the cell vectors:
La: 0.341 0.656 0.410
La: 0.315 0.656 0.910
La: 0.685 0.344 0.090
La: 0.659 0.344 0.590
Pr: 0.733 0.000 0.750
Pr: 0.267 0.000 0.250
Pr: 0.848 0.716 0.933
Pr: 0.132 0.284 0.567
Pr: 0.868 0.716 0.433
Pr: 0.152 0.284 0.067
Dy: 0.740 0.000 0.250
Dy: 0.260 0.000 0.750

Compound: Ho2CdFe
Source: Alexandria
Functional: PBE
Structure: optimized geometry

## Properties
* formation enthalpy at 0 K: 0.27 eV/atom
* volume: 27.164 Å³ per atom
* distance to the lowest polymorph of the same formula: 388 meV/atom
* electronic total energy: -4.364 eV/atom

a b c (Å): 3.558 3.558 10.122
angles (deg): 79.88 79.88 60.00
Sites, in units of the cell vectors:
Fe: 0.500 0.500 0.500
Ho: 0.110 0.110 0.670
Ho: 0.890 0.890 0.330
Cd: 0.000 0.000 0.000

> Which value of electronic total energy does entry 5 give?

-3.805 eV/atom